Entry from the Alexandria database: crystalline Cd2Cu2Ag at its relaxed geometry (PBE).

Output
Total moment (μB/atom): 0.000
V (Å³/atom): 17.2
VASP energy (eV per cell): -25.01
Polymorph energy (0 for the lowest one) (kJ/mol of atoms): 0.0
Formation energy from the elements (kcal/mol of atoms): 1.703

a = 7.201 Å, b = 7.201 Å, c = 3.316 Å
α = 90.00°, β = 90.00°, γ = 90.00°
Fractional positions:
Cu 0.377 0.877 0.000
Cu 0.877 0.623 0.000
Cu 0.623 0.123 0.000
Cu 0.123 0.377 0.000
Ag 0.000 0.000 0.000
Ag 0.500 0.500 0.000
Cd 0.173 0.673 0.500
Cd 0.673 0.827 0.500
Cd 0.827 0.327 0.500
Cd 0.327 0.173 0.500